## Ta3Mo (meta-GGA SCAN)

Data for Ta3Mo at its PBEsol-relaxed geometry. Values from VASP.

```
&SYSTEM
  ibrav = 0, nat = 4, ntyp = 2
/
ATOMIC_SPECIES
Ta 180.95 Ta.upf
Mo 95.94 Mo.upf
ATOMIC_POSITIONS angstrom
Ta 0.0000 0.0000 0.0000
Ta 1.6173 1.6173 1.6173
Ta 4.8518 4.8518 4.8518
Mo 3.2345 3.2345 3.2345
CELL_PARAMETERS angstrom
0.0000 3.2345 3.2345
3.2345 0.0000 3.2345
3.2345 3.2345 0.0000
```

space group = No. 225
E_tot = -235.0 eV per cell
excess energy over the best structure of this formula in the dataset = 0.167 eV per formula unit
formation enthalpy at 0 K = -0.079 eV/atom
M_tot = 0.00 μB per formula unit
V = 16.920 A^3/atom

## Ta3Mo4 (meta-GGA SCAN)

Data for Ta3Mo4 at its PBEsol-relaxed geometry. Values from VASP.

```
&SYSTEM
  ibrav = 0, nat = 7, ntyp = 2
/
ATOMIC_SPECIES
Ta 180.95 Ta.upf
Mo 95.94 Mo.upf
ATOMIC_POSITIONS angstrom
Ta 0.0000 0.0000 0.0000
Ta -0.0105 2.9665 3.3850
Ta 0.9815 0.4818 2.5697
Mo -0.8728 0.9803 5.1188
Mo 0.0478 -1.4240 4.2675
Mo 0.9232 4.8723 1.6872
Mo 1.8438 2.4681 0.8359
CELL_PARAMETERS angstrom
2.7823 0.0000 0.0000
-0.9655 6.8257 0.0000
-0.8458 -3.3773 5.9547
```

space group = No. 2
E_tot = -340.1 eV per cell
formation enthalpy at 0 K = -0.117 eV/atom
M_tot = 0.00 μB per formula unit
V = 16.155 A^3/atom

## Ta2Mo (meta-GGA SCAN)

Data for Ta2Mo at its PBEsol-relaxed geometry. Values from VASP.

```
&SYSTEM
  ibrav = 0, nat = 6, ntyp = 2
/
ATOMIC_SPECIES
Ta 180.95 Ta.upf
Mo 95.94 Mo.upf
ATOMIC_POSITIONS angstrom
Ta 0.0000 0.0000 0.0000
Ta 0.9548 1.2862 2.2949
Ta 1.8898 2.6049 0.0000
Ta 3.7163 5.1213 4.5025
Mo 1.8607 2.5360 4.5133
Mo 2.8104 3.8716 2.2841
CELL_PARAMETERS angstrom
2.8314 0.0000 0.0000
0.9482 5.2099 0.0000
0.8915 1.1977 6.7974
```

space group = No. 2
E_tot = -336.6 eV per cell
excess energy over the best structure of this formula in the dataset = 0.241 eV per formula unit
formation enthalpy at 0 K = -0.085 eV/atom
M_tot = 0.00 μB per formula unit
V = 16.712 A^3/atom

## Ta3Mo5 (meta-GGA SCAN)

Data for Ta3Mo5 at its PBEsol-relaxed geometry. Values from VASP.

```
&SYSTEM
  ibrav = 0, nat = 8, ntyp = 2
/
ATOMIC_SPECIES
Ta 180.95 Ta.upf
Mo 95.94 Mo.upf
ATOMIC_POSITIONS angstrom
Ta 0.0000 0.0000 0.0000
Ta 1.5875 -1.6103 1.6735
Ta 1.5875 1.6103 1.6735
Mo 0.0000 -3.1791 3.2536
Mo 0.0000 0.0000 3.2701
Mo 0.0000 3.1791 3.2536
Mo 1.5875 -1.6056 4.8089
Mo 1.5875 1.6056 4.8089
CELL_PARAMETERS angstrom
3.1749 0.0000 0.0000
0.0000 6.3538 3.1825
0.0000 -6.3538 3.1825
```

space group = No. 38
E_tot = -375.3 eV per cell
excess energy over the best structure of this formula in the dataset = 0.358 eV per formula unit
formation enthalpy at 0 K = -0.139 eV/atom
M_tot = 0.00 μB per formula unit
V = 16.050 A^3/atom

## TaMo2 (meta-GGA SCAN)

Data for TaMo2 at its PBEsol-relaxed geometry. Values from VASP.

```
&SYSTEM
  ibrav = 0, nat = 6, ntyp = 2
/
ATOMIC_SPECIES
Ta 180.95 Ta.upf
Mo 95.94 Mo.upf
ATOMIC_POSITIONS angstrom
Ta 0.0000 0.0000 1.5979
Ta 0.0000 0.0000 7.9305
Mo 0.0000 0.0000 4.7642
Mo 1.5850 1.5850 0.0000
Mo 1.5850 1.5850 3.2268
Mo 1.5850 1.5850 6.3015
CELL_PARAMETERS angstrom
3.1699 0.0000 0.0000
0.0000 3.1699 0.0000
0.0000 0.0000 9.5283
```

space group = No. 123
E_tot = -273.7 eV per cell
formation enthalpy at 0 K = -0.168 eV/atom
M_tot = 0.00 μB per formula unit
V = 15.958 A^3/atom

## Ta3Mo5 (meta-GGA SCAN)

Data for Ta3Mo5 at its PBEsol-relaxed geometry. Values from VASP.

```
&SYSTEM
  ibrav = 0, nat = 8, ntyp = 2
/
ATOMIC_SPECIES
Ta 180.95 Ta.upf
Mo 95.94 Mo.upf
ATOMIC_POSITIONS angstrom
Ta 0.0000 0.0000 0.0000
Ta 0.0000 0.0000 8.2199
Ta 0.0000 0.0000 13.6190
Mo 0.0000 0.0000 2.7567
Mo 0.0000 0.0000 5.4088
Mo 0.0000 0.0000 10.9195
Mo 0.0000 0.0000 16.4302
Mo 0.0000 0.0000 19.0822
CELL_PARAMETERS angstrom
2.2562 1.3026 7.2796
-2.2562 1.3026 7.2796
0.0000 -2.6053 7.2796
```

space group = No. 166
E_tot = -375.0 eV per cell
excess energy over the best structure of this formula in the dataset = 0.628 eV per formula unit
formation enthalpy at 0 K = -0.105 eV/atom
M_tot = 0.00 μB per formula unit
V = 16.046 A^3/atom

## Ta3Mo (meta-GGA SCAN)

Data for Ta3Mo at its PBEsol-relaxed geometry. Values from VASP.

```
&SYSTEM
  ibrav = 0, nat = 8, ntyp = 2
/
ATOMIC_SPECIES
Ta 180.95 Ta.upf
Mo 95.94 Mo.upf
ATOMIC_POSITIONS angstrom
Ta 1.6096 1.1577 3.5087
Ta 1.6096 1.1577 12.3612
Ta 1.6096 1.1577 17.0439
Ta 1.6096 -1.1577 1.1710
Ta 1.6096 -1.1577 5.8536
Ta 1.6096 -1.1577 14.7062
Mo 1.6096 1.1577 8.0571
Mo 1.6096 -1.1577 10.1578
CELL_PARAMETERS angstrom
1.6096 -2.3154 0.0000
1.6096 2.3154 0.0000
0.0000 0.0000 18.2149
```

space group = No. 67
E_tot = -469.6 eV per cell
excess energy over the best structure of this formula in the dataset = 0.335 eV per formula unit
formation enthalpy at 0 K = -0.037 eV/atom
M_tot = 0.00 μB per formula unit
V = 16.971 A^3/atom

## Ta3Mo5 (meta-GGA SCAN)

Data for Ta3Mo5 at its PBEsol-relaxed geometry. Values from VASP.

```
&SYSTEM
  ibrav = 0, nat = 8, ntyp = 2
/
ATOMIC_SPECIES
Ta 180.95 Ta.upf
Mo 95.94 Mo.upf
ATOMIC_POSITIONS angstrom
Ta 0.0000 0.0000 0.0000
Ta 0.0000 2.2619 2.3085
Ta 1.5848 0.0000 2.3533
Mo 0.0000 0.0000 4.5936
Mo 0.0000 2.2619 6.7607
Mo 1.5848 0.0000 6.7223
Mo 1.5848 2.2619 8.9514
Mo 1.5848 2.2619 4.5854
CELL_PARAMETERS angstrom
3.1695 0.0000 0.0000
0.0000 4.5237 0.0000
0.0000 0.0000 8.9546
```

space group = No. 25
E_tot = -375.1 eV per cell
excess energy over the best structure of this formula in the dataset = 0.576 eV per formula unit
formation enthalpy at 0 K = -0.112 eV/atom
M_tot = 0.00 μB per formula unit
V = 16.049 A^3/atom

## Ta3Mo4 (meta-GGA SCAN)

Data for Ta3Mo4 at its PBEsol-relaxed geometry. Values from VASP.

```
&SYSTEM
  ibrav = 0, nat = 7, ntyp = 2
/
ATOMIC_SPECIES
Ta 180.95 Ta.upf
Mo 95.94 Mo.upf
ATOMIC_POSITIONS angstrom
Ta 0.0000 0.0000 0.0000
Ta 5.2812 0.0000 1.5930
Ta 7.9893 0.0000 2.3415
Mo 1.1025 0.0000 3.0475
Mo 2.6472 0.0000 0.7944
Mo 3.7132 0.0000 3.8362
Mo 6.3515 0.0000 4.5752
CELL_PARAMETERS angstrom
4.7790 -2.2524 0.0000
4.7790 2.2524 0.0000
-0.5241 0.0000 5.2558
```

space group = No. 8
E_tot = -340.4 eV per cell
formation enthalpy at 0 K = -0.156 eV/atom
M_tot = 0.00 μB per formula unit
V = 16.164 A^3/atom

## Ta3Mo4 (meta-GGA SCAN)

Data for Ta3Mo4 at its PBEsol-relaxed geometry. Values from VASP.

```
&SYSTEM
  ibrav = 0, nat = 7, ntyp = 2
/
ATOMIC_SPECIES
Ta 180.95 Ta.upf
Mo 95.94 Mo.upf
ATOMIC_POSITIONS angstrom
Ta 0.0000 0.0000 0.0000
Ta 0.0000 0.0000 6.4650
Ta 0.0000 0.0000 15.9797
Mo 0.0000 0.0000 3.1403
Mo 0.0000 0.0000 9.6027
Mo 0.0000 0.0000 12.8420
Mo 0.0000 0.0000 19.3044
CELL_PARAMETERS angstrom
-1.5877 1.5877 11.2223
1.5877 -1.5877 11.2223
1.5877 1.5877 -11.2223
```

space group = No. 139
E_tot = -340.4 eV per cell
formation enthalpy at 0 K = -0.163 eV/atom
M_tot = 0.00 μB per formula unit
V = 16.166 A^3/atom

## Ta3Mo5 (meta-GGA SCAN)

Data for Ta3Mo5 at its PBEsol-relaxed geometry. Values from VASP.

```
&SYSTEM
  ibrav = 0, nat = 8, ntyp = 2
/
ATOMIC_SPECIES
Ta 180.95 Ta.upf
Mo 95.94 Mo.upf
ATOMIC_POSITIONS angstrom
Ta 0.0000 0.0000 0.0000
Ta -0.9543 0.0000 6.9728
Ta 7.0929 0.0000 1.0724
Mo -1.9682 0.0000 4.0226
Mo 1.0214 0.0000 3.0542
Mo 2.0742 0.0000 5.9834
Mo 4.0644 0.0000 2.0618
Mo 5.1171 0.0000 4.9910
CELL_PARAMETERS angstrom
5.0375 -1.5847 0.0000
5.0375 1.5847 0.0000
-3.9363 0.0000 8.0452
```

space group = No. 12
E_tot = -375.1 eV per cell
excess energy over the best structure of this formula in the dataset = 0.509 eV per formula unit
formation enthalpy at 0 K = -0.120 eV/atom
M_tot = 0.00 μB per formula unit
V = 16.056 A^3/atom

## Ta3Mo5 (meta-GGA SCAN)

Data for Ta3Mo5 at its PBEsol-relaxed geometry. Values from VASP.

```
&SYSTEM
  ibrav = 0, nat = 8, ntyp = 2
/
ATOMIC_SPECIES
Ta 180.95 Ta.upf
Mo 95.94 Mo.upf
ATOMIC_POSITIONS angstrom
Ta 0.0000 0.0000 0.0000
Ta 0.0000 0.0000 3.1705
Ta 0.0000 0.0000 9.5429
Mo 2.2451 0.0000 1.5714
Mo 2.2451 0.0000 4.7853
Mo 0.0000 0.0000 6.3567
Mo 0.0000 2.2451 1.5714
Mo 0.0000 2.2451 4.7853
CELL_PARAMETERS angstrom
-2.2451 2.2451 6.3567
2.2451 -2.2451 6.3567
2.2451 2.2451 -6.3567
```

space group = No. 139
E_tot = -375.6 eV per cell
excess energy over the best structure of this formula in the dataset = 0.023 eV per formula unit
formation enthalpy at 0 K = -0.181 eV/atom
M_tot = 0.00 μB per formula unit
V = 16.021 A^3/atom

## Ta3Mo (meta-GGA SCAN)

Data for Ta3Mo at its PBEsol-relaxed geometry. Values from VASP.

```
&SYSTEM
  ibrav = 0, nat = 4, ntyp = 2
/
ATOMIC_SPECIES
Ta 180.95 Ta.upf
Mo 95.94 Mo.upf
ATOMIC_POSITIONS angstrom
Ta 0.0000 0.0000 0.0000
Ta 0.0302 2.2761 3.9083
Ta 1.8270 2.2761 1.3355
Mo 0.9286 0.0000 2.6219
CELL_PARAMETERS angstrom
2.8422 0.0000 0.0000
0.0000 4.5522 0.0000
-0.9851 0.0000 5.2438
```

space group = No. 10
E_tot = -234.9 eV per cell
excess energy over the best structure of this formula in the dataset = 0.182 eV per formula unit
formation enthalpy at 0 K = -0.075 eV/atom
M_tot = 0.00 μB per formula unit
V = 16.962 A^3/atom